Entry from Alexandria via LeMat-Bulk: KReOF2 at its PBEsol-relaxed geometry (SCAN).

Output
Total DFT energy (no corrections), eV per cell: -101.27
Formation energy from raw total energies, eV/f.u.: -8.5

Unit cell a=4.277 b=4.277 c=3.809 alpha=90.00 beta=90.00 gamma=90.00
Element x y z (fractional)
K (0.000, 0.000, 0.000)
Re (0.500, 0.500, 0.500)
O (0.500, 0.500, 0.000)
F (0.000, 0.500, 0.500)
F (0.500, 0.000, 0.500)